1.
DFT (PBE) results for a relaxed SmZnAuO4 crystal.

```
14
Lattice="6.322 0.000 0.000 -3.161 6.286 -0.364 0.000 -3.717 6.112" Properties=species:S:1:pos:R:3 pbc="T T T"
O 0.000 2.129 1.854
Zn 3.161 4.651 0.735
Sm 3.161 0.000 0.000
Zn 0.000 -2.082 5.013
O 1.753 -2.394 4.823
O 4.569 -2.394 4.823
Au -1.580 1.285 2.874
O 3.161 1.801 1.655
O -1.408 4.963 0.925
O 1.408 4.963 0.925
O 3.161 0.440 3.894
Au 1.580 1.285 2.874
Sm 3.161 -1.858 3.056
O 0.000 0.768 4.093
```

Summary:
* total magnetization: 0.00 μB/cell
* E_form (uncorrected): -1.5091 eV/atom
* symmetry: Imma, No. 74

2.
DFT (PBE) results for a relaxed KMgTlCl4 crystal.

```
14
Lattice="7.406 0.000 0.061 0.000 7.315 0.000 -2.820 0.000 8.293" Properties=species:S:1:pos:R:3 pbc="T T T"
Tl 1.782 1.829 0.601
Tl 2.804 5.486 7.753
Cl 3.049 1.829 3.560
K 4.581 5.486 3.726
Cl -0.516 7.286 2.072
Cl 1.779 1.829 7.219
K 0.005 1.829 4.627
Mg 0.935 5.486 2.532
Cl 1.538 5.486 4.793
Cl 2.807 5.486 1.135
Mg 3.651 1.829 5.821
Cl -0.516 3.687 2.072
Cl 5.103 0.029 6.282
Cl 5.103 3.628 6.282
```

Summary:
* total magnetization: 0.00 μB/cell
* E_form (uncorrected): -1.6361 eV/atom
* symmetry: P2_1/m, No. 11

3.
DFT (PBE) results for a relaxed Cs2RbSi2 crystal.

```
5
Lattice="4.059 0.000 0.000 0.000 11.718 0.906 -2.030 -2.442 6.120" Properties=species:S:1:pos:R:3 pbc="T T T"
Cs 0.000 1.970 4.228
Cs 2.030 7.305 2.798
Si 2.030 -0.620 2.891
Rb 0.000 0.000 0.000
Si 0.000 9.896 4.136
```

Summary:
* total magnetization: 0.00 μB/cell
* E_form (uncorrected): 0.0940 eV/atom
* symmetry: C2/m, No. 12

Which formula does entry 2 have?
KMgTlCl4